Crystalline Ni2HgOs at its relaxed geometry. Source: Alexandria, functional PBEsol.

POSCAR file:
```
Ni2HgOs
1.0
-1.939 -3.040 -2.240
2.299 -2.951 -2.007
0.007 -4.005 1.407
Ni Hg Os
2 1 1
direct
0.250 0.250 0.250 Ni
0.750 0.750 0.750 Ni
0.000 0.000 0.000 Hg
0.500 0.500 0.500 Os
```

Results
electronic total energy	-5.743	eV/atom
DFT formation energy	205	kJ/mol of formula units
crystal system	cubic
magnetic moment	1.95	μB/f.u.
Fermi-level density of states	1.05	states/eV per atom
space-group type	Fm-3m, No. 225

Crystalline NiHg2Os at its relaxed geometry. Source: Alexandria, functional PBEsol.

POSCAR file:
```
NiHg2Os
1.0
4.020 0.000 0.000
0.000 4.020 0.000
-2.010 -2.010 3.970
Hg Os Ni
2 1 1
direct
0.000 0.000 0.000 Hg
0.750 0.250 0.500 Hg
0.250 0.750 0.500 Os
0.500 0.500 0.000 Ni
```

Results
relative energy among the computed polymorphs	167	meV/atom
electronic total energy	-4.113	eV/atom
DFT formation energy	295	kJ/mol of formula units
crystal system	tetragonal
magnetic moment	1.24	μB/f.u.
Fermi-level density of states	1.14	states/eV per atom
space-group type	I-4m2, No. 119

Crystalline NiHgOs2Pt at its relaxed geometry. Source: Alexandria, functional PBEsol.

POSCAR file:
```
NiHgOs2Pt
1.0
4.546 0.000 0.000
0.000 4.704 0.000
0.000 0.000 4.704
Os Hg Pt Ni
2 1 1 1
direct
0.000 0.500 0.000 Os
0.000 0.000 0.500 Os
0.500 0.500 0.500 Hg
0.000 0.000 0.000 Pt
0.500 0.000 0.000 Ni
```

Results
electronic total energy	-5.522	eV/atom
DFT formation energy	1014	kJ/mol of formula units
crystal system	tetragonal
magnetic moment	1.93	μB/f.u.
Fermi-level density of states	1.89	states/eV per atom
space-group type	P4/mmm, No. 123

Crystalline NiHgP at its relaxed geometry. Source: Alexandria, functional PBEsol.

POSCAR file:
```
NiHgP
1.0
4.223 0.000 0.000
2.111 3.657 0.000
2.111 1.219 3.448
Hg Ni P
1 1 1
direct
0.750 0.750 0.750 Hg
0.000 0.000 0.000 Ni
0.500 0.500 0.500 P
```

Results
electronic total energy	-3.511	eV/atom
DFT formation energy	191	kJ/mol of formula units
crystal system	cubic
magnetic moment	0.00	μB/f.u.
Fermi-level density of states	0.84	states/eV per atom
space-group type	F-43m, No. 216

Crystalline NiHg3P at its relaxed geometry. Source: Alexandria, functional PBEsol.

POSCAR file:
```
NiHg3P
1.0
-0.973 4.809 -0.959
0.503 -0.874 -4.897
-4.878 -1.050 -0.313
Hg P Ni
3 1 1
direct
0.500 0.000 0.000 Hg
0.000 0.500 0.000 Hg
0.000 0.000 0.500 Hg
0.000 0.000 0.000 P
0.500 0.500 0.500 Ni
```

Results
electronic total energy	-1.807	eV/atom
DFT formation energy	445	kJ/mol of formula units
crystal system	cubic
magnetic moment	0.91	μB/f.u.
Fermi-level density of states	2.27	states/eV per atom
space-group type	Pm-3m, No. 221

Crystalline Ni2HgP at its relaxed geometry. Source: Alexandria, functional PBEsol.

POSCAR file:
```
Ni2HgP
1.0
-2.378 0.865 -1.536
-1.214 -4.049 -0.402
-2.215 0.317 3.609
P Hg Ni
1 1 2
direct
0.500 0.000 0.000 P
0.500 0.500 0.500 Hg
0.000 0.000 0.500 Ni
0.000 0.500 0.000 Ni
```

Results
electronic total energy	-4.512	eV/atom
DFT formation energy	60	kJ/mol of formula units
crystal system	orthorhombic
magnetic moment	0.00	μB/f.u.
Fermi-level density of states	0.58	states/eV per atom
space-group type	Cmmm, No. 65

Crystalline Ni2HgP at its relaxed geometry. Source: Alexandria, functional PBEsol.

POSCAR file:
```
Ni2HgP
1.0
3.044 0.000 0.000
0.000 3.044 0.000
0.000 0.000 6.017
Hg Ni P
1 2 1
direct
0.500 0.500 0.776 Hg
0.000 0.000 0.043 Ni
0.500 0.500 0.279 Ni
0.000 0.000 0.402 P
```

Results
electronic total energy	-4.734	eV/atom
DFT formation energy	-25	kJ/mol of formula units
crystal system	tetragonal
magnetic moment	0.00	μB/f.u.
Fermi-level density of states	0.60	states/eV per atom
space-group type	P4mm, No. 99

Crystalline NiHgP2S at its relaxed geometry. Source: Alexandria, functional PBEsol.

POSCAR file:
```
NiHgP2S
1.0
-2.557 -0.147 -3.452
3.216 -1.673 -2.310
-1.405 -4.397 1.228
Hg S P Ni
1 1 2 1
direct
0.500 0.500 0.500 Hg
0.000 0.000 0.500 S
0.000 0.500 0.000 P
0.500 0.000 0.000 P
0.000 0.000 0.000 Ni
```

Results
E_form (uncorrected)	0.50	eV/atom
electronic total energy	-4.039	eV/atom
crystal system	tetragonal
magnetic moment	0.01	μB/f.u.
Fermi-level density of states	0.90	states/eV per atom
space-group type	P4/mmm, No. 123

- What is the magnetic moment in the second record?
  1.24 μB/f.u.

- Among the records above, which one has the lowest electronic total energy?
  Ni2HgOs